{
  "formula": "TlZn2Cr",
  "functional": "GGA-PBEsol",
  "state": "optimized geometry",
  "lattice": [[-2.0059, 2.0059, 4.0914], [2.0059, -2.0059, 4.0914], [2.0059, 2.0059, -4.0914]],
  "species": ["Tl", "Zn", "Zn", "Cr"],
  "fractional_positions": [[0.0000, 0.0000, 0.0000], [0.5000, 0.5000, 0.0000], [0.7500, 0.2500, 0.5000], [0.2500, 0.7500, 0.5000]],
  "magnetic_moment_mub_per_cell": 3.40,
  "formation_energy_ev_per_atom": 0.374,
  "spacegroup": "No. 119",
  "de_polymorph_mev_per_atom": 20.0
}